Version w
The following is a DFT calculation (PBE) of an optimized crystal structure of ZnSnTeO.

Lattice parameters (Å, degrees): 7.2304 8.1415 12.7599 90.00 90.00 90.00
Last column: nearest neighbours and their distance in Å.
Element x y z (fractional)
Sn: 0.7013 0.6007 0.7532  2 O 2.19-2.26
Sn: 0.2987 0.3993 0.2468  2 O 2.19-2.26
Sn: 0.7013 0.8993 0.2532  2 O 2.19-2.26
Sn: 0.2013 0.8993 0.2468  2 O 2.19-2.26
Sn: 0.7987 0.3993 0.2532  2 O 2.19-2.26
Sn: 0.2987 0.1007 0.7468  2 O 2.19-2.26
Sn: 0.2013 0.6007 0.7468  2 O 2.19-2.26
Sn: 0.7987 0.1007 0.7532  2 O 2.19-2.26
O: 0.0440 0.2439 0.2710  1 Zn 1.99, 1 Sn 2.19
O: 0.0440 0.2561 0.7710  1 Zn 1.99, 1 Sn 2.19
O: 0.4560 0.7561 0.7710  1 Zn 1.99, 1 Sn 2.19
O: 0.9560 0.7561 0.7290  1 Zn 1.99, 1 Sn 2.19
O: 0.4560 0.7439 0.2710  1 Zn 1.99, 1 Sn 2.19
O: 0.9560 0.7439 0.2290  1 Zn 1.99, 1 Sn 2.19
O: 0.5440 0.2439 0.2290  1 Zn 1.99, 1 Sn 2.19
O: 0.5440 0.2561 0.7290  1 Zn 1.99, 1 Sn 2.19
Te: 0.7445 0.4328 0.9918  3 Zn 2.61-2.73
Te: 0.2445 0.4328 0.5082  3 Zn 2.61-2.73
Te: 0.7555 0.5672 0.4918  3 Zn 2.61-2.73
Te: 0.2555 0.9328 0.5082  3 Zn 2.61-2.73
Te: 0.7555 0.9328 0.9918  3 Zn 2.61-2.73
Te: 0.2445 0.0672 0.0082  3 Zn 2.61-2.73
Te: 0.7445 0.0672 0.4918  3 Zn 2.61-2.73
Te: 0.2555 0.5672 0.0082  3 Zn 2.61-2.73
Zn: 0.5573 0.1853 0.0774  1 O 1.99
Zn: 0.5573 0.3147 0.5774  1 O 1.99
Zn: 0.4427 0.6853 0.4226  1 O 1.99
Zn: 0.0573 0.1853 0.4226  1 O 1.99
Zn: 0.9427 0.8147 0.5774  1 O 1.99
Zn: 0.9427 0.6853 0.0774  1 O 1.99
Zn: 0.4427 0.8147 0.9226  1 O 1.99
Zn: 0.0573 0.3147 0.9226  1 O 1.99

Version x
The following is a DFT calculation (PBE) of an optimized crystal structure of ZnSnTeO.

Lattice parameters (Å, degrees): 6.5732 12.4781 9.1474 90.00 90.00 90.00
Last column: nearest neighbours and their distance in Å.
Element x y z (fractional)
Sn: 0.6968 0.1609 0.5808  1 O 2.08
Sn: 0.1968 0.1609 0.9192  1 O 2.08
Sn: 0.1968 0.3391 0.4192  1 O 2.08
Sn: 0.3032 0.8391 0.4192  1 O 2.08
Sn: 0.3032 0.6609 0.9192  1 O 2.08
Sn: 0.8032 0.6609 0.5808  1 O 2.08
Sn: 0.8032 0.8391 0.0808  1 O 2.08
Sn: 0.6968 0.3391 0.0808  1 O 2.08
Zn: 0.5288 0.3701 0.7919  2 O 1.96-1.97
Zn: 0.0288 0.3701 0.7081  2 O 1.96-1.97
Zn: 0.4712 0.8701 0.7081  2 O 1.96-1.97
Zn: 0.9712 0.8701 0.7919  2 O 1.96-1.97
Zn: 0.0288 0.1299 0.2081  2 O 1.96-1.97
Zn: 0.4712 0.6299 0.2081  2 O 1.96-1.97
Zn: 0.9712 0.6299 0.2919  2 O 1.96-1.97
Zn: 0.5288 0.1299 0.2919  2 O 1.96-1.97
Te: 0.0780 0.0553 0.6553  1 Zn 2.72, 2 Sn 2.86-2.91
Te: 0.5780 0.0553 0.8447  1 Zn 2.72, 2 Sn 2.86-2.91
Te: 0.0780 0.4447 0.1553  1 Zn 2.72, 2 Sn 2.86-2.91
Te: 0.5780 0.4447 0.3447  1 Zn 2.72, 2 Sn 2.86-2.91
Te: 0.9220 0.9447 0.3447  1 Zn 2.72, 2 Sn 2.86-2.91
Te: 0.4220 0.9447 0.1553  1 Zn 2.72, 2 Sn 2.86-2.91
Te: 0.4220 0.5553 0.6553  1 Zn 2.72, 2 Sn 2.86-2.91
Te: 0.9220 0.5553 0.8447  1 Zn 2.72, 2 Sn 2.86-2.91
O: 0.7400 0.6976 0.1919  2 Zn 1.96-1.97, 1 Sn 2.08
O: 0.2400 0.6976 0.3081  2 Zn 1.96-1.97, 1 Sn 2.08
O: 0.2600 0.1976 0.3081  2 Zn 1.96-1.97, 1 Sn 2.08
O: 0.7400 0.8024 0.6919  2 Zn 1.96-1.97, 1 Sn 2.08
O: 0.7600 0.1976 0.1919  2 Zn 1.96-1.97, 1 Sn 2.08
O: 0.7600 0.3024 0.6919  2 Zn 1.96-1.97, 1 Sn 2.08
O: 0.2600 0.3024 0.8081  2 Zn 1.96-1.97, 1 Sn 2.08
O: 0.2400 0.8024 0.8081  2 Zn 1.96-1.97, 1 Sn 2.08

Version y
The following is a DFT calculation (PBE) of an optimized crystal structure of ZnSnTeO.

Lattice parameters (Å, degrees): 6.2945 4.0779 13.9900 90.00 90.00 90.00
Last column: nearest neighbours and their distance in Å.
Element x y z (fractional)
Te: 0.7528 0.7500 0.0940  2 Zn 2.69
Te: 0.2528 0.7500 0.4060  2 Zn 2.69
Te: 0.2472 0.2500 0.9060  2 Zn 2.69
Te: 0.7472 0.2500 0.5940  2 Zn 2.69
Zn: 0.6118 0.2500 0.2018  2 O 1.97-2.02
Zn: 0.8882 0.7500 0.7018  2 O 1.97-2.02
Zn: 0.3882 0.7500 0.7982  2 O 1.97-2.02
Zn: 0.1118 0.2500 0.2982  2 O 1.97-2.02
O: 0.2936 0.2500 0.1832  2 Zn 1.97-2.02
O: 0.7936 0.2500 0.3168  2 Zn 1.97-2.02
O: 0.7064 0.7500 0.8168  2 Zn 1.97-2.02
O: 0.2064 0.7500 0.6832  2 Zn 1.97-2.02
Sn: 0.2562 0.7500 0.0950  2 O 2.39
Sn: 0.7438 0.2500 0.9050  2 O 2.39
Sn: 0.7562 0.7500 0.4049  2 O 2.39
Sn: 0.2438 0.2500 0.5950  2 O 2.39

Version z
The following is a DFT calculation (PBE) of an optimized crystal structure of ZnSnTeO.

Lattice parameters (Å, degrees): 3.8745 3.8745 11.9614 90.00 90.00 90.00
Last column: nearest neighbours and their distance in Å.
Element x y z (fractional)
Te: 0.7500 0.7500 0.8462  4 Zn 2.67
Te: 0.2500 0.2500 0.1538  4 Zn 2.67
Zn: 0.7500 0.2500 0.0000  4 Te 2.67, 4 Zn 2.74
Zn: 0.2500 0.7500 0.0000  4 Te 2.67, 4 Zn 2.74
O: 0.7500 0.7500 0.5690  1 Sn 2.05
O: 0.2500 0.2500 0.4310  1 Sn 2.05
Sn: 0.7500 0.7500 0.3974  1 O 2.05
Sn: 0.2500 0.2500 0.6026  1 O 2.05

The structure with the most favorable energy is version y; the runner-up is 72 meV/atom above it.

Version w
The following is a DFT calculation (PBE) of an optimized crystal structure of ZnSnTeO.

Lattice parameters (Å, degrees): 8.2529 8.2529 6.7216 90.00 90.00 22.74
Last column: nearest neighbours and their distance in Å.
Element x y z (fractional)
Zn: 0.1681 0.1681 0.4582  2 O 1.97
Zn: 0.8319 0.8319 0.9582  2 O 1.97
O: 0.6142 0.6142 0.5593  2 Zn 1.97, 1 Sn 2.09
O: 0.3858 0.3858 0.0592  2 Zn 1.97, 1 Sn 2.09
Te: 0.8198 0.8198 0.5628  1 Zn 2.66
Te: 0.1802 0.1802 0.0628  1 Zn 2.66
Sn: 0.4607 0.4607 0.3124  1 O 2.09
Sn: 0.5393 0.5393 0.8124  1 O 2.09

Version x
The following is a DFT calculation (PBE) of an optimized crystal structure of ZnSnTeO.

Lattice parameters (Å, degrees): 5.0863 5.0863 7.3624 90.00 90.00 90.00
Last column: nearest neighbours and their distance in Å.
Element x y z (fractional)
Te: 0.2500 0.7500 0.5000  4 Zn 2.78
Te: 0.7500 0.2500 0.5000  4 Zn 2.78
Zn: 0.2500 0.2500 0.6531  1 O 1.90
Zn: 0.7500 0.7500 0.3469  1 O 1.90
O: 0.7500 0.7500 0.0895  1 Zn 1.90, 1 Sn 1.96
O: 0.2500 0.2500 0.9105  1 Zn 1.90, 1 Sn 1.96
Sn: 0.7500 0.7500 0.8226  1 O 1.96
Sn: 0.2500 0.2500 0.1774  1 O 1.96

Version y
The following is a DFT calculation (PBE) of an optimized crystal structure of ZnSnTeO.

Lattice parameters (Å, degrees): 4.4694 4.4694 8.5985 90.00 90.00 90.00
Last column: nearest neighbours and their distance in Å.
Element x y z (fractional)
O: 0.2500 0.2500 0.5283  1 Zn 1.89, 1 Te 1.91
O: 0.7500 0.7500 0.4717  1 Zn 1.89, 1 Te 1.91
Sn: 0.2500 0.7500 0.0000  4 Zn 3.12, 4 Sn 3.16, 4 Te 3.45
Sn: 0.7500 0.2500 0.0000  4 Zn 3.12, 4 Sn 3.16, 4 Te 3.45
Te: 0.2500 0.2500 0.3064  1 O 1.91
Te: 0.7500 0.7500 0.6936  1 O 1.91
Zn: 0.2500 0.2500 0.7476  1 O 1.89
Zn: 0.7500 0.7500 0.2524  1 O 1.89

Version z
The following is a DFT calculation (PBE) of an optimized crystal structure of ZnSnTeO.

Lattice parameters (Å, degrees): 4.0599 4.0598 12.3964 90.00 90.00 120.00
Last column: nearest neighbours and their distance in Å.
Element x y z (fractional)
Sn: 0.6667 0.3334 0.7803  3 O 2.43
Sn: 0.3333 0.6666 0.2803  3 O 2.43
O: 0.0000 0.0000 0.8327  1 Zn 1.95
O: 0.0000 0.0000 0.3327  1 Zn 1.95
Zn: 0.0000 0.0000 0.9897  1 O 1.95
Zn: 0.0000 0.0000 0.4897  1 O 1.95
Te: 0.6667 0.3333 0.0849  3 Zn 2.62
Te: 0.3333 0.6667 0.5849  3 Zn 2.62

The structure with the most favorable energy is version z; the runner-up is 106 meV/atom above it.

Version w
The following is a DFT calculation (PBE) of an optimized crystal structure of ZnSnTeO.

Lattice parameters (Å, degrees): 6.8698 3.2230 16.0187 90.00 90.00 90.00
Last column: nearest neighbours and their distance in Å.
Element x y z (fractional)
Zn: 0.7989 0.2500 0.9214  2 O 1.95
Zn: 0.2011 0.7500 0.0786  2 O 1.95
Zn: 0.7011 0.7500 0.4214  2 O 1.95
Zn: 0.2989 0.2500 0.5786  2 O 1.95
Te: 0.3086 0.7500 0.4200  3 Zn 2.70-3.01
Te: 0.1914 0.2500 0.9200  3 Zn 2.70-3.01
Te: 0.8086 0.7500 0.0800  3 Zn 2.70-3.01
Te: 0.6914 0.2500 0.5800  3 Zn 2.70-3.01
O: 0.6894 0.7500 0.8708  2 Zn 1.95, 1 Sn 2.09
O: 0.8106 0.2500 0.3708  2 Zn 1.95, 1 Sn 2.09
O: 0.1894 0.7500 0.6292  2 Zn 1.95, 1 Sn 2.09
O: 0.3106 0.2500 0.1292  2 Zn 1.95, 1 Sn 2.09
Sn: 0.5329 0.2500 0.2179  1 O 2.09
Sn: 0.0329 0.2500 0.2821  1 O 2.09
Sn: 0.4671 0.7500 0.7821  1 O 2.09
Sn: 0.9671 0.7500 0.7179  1 O 2.09

Version x
The following is a DFT calculation (PBE) of an optimized crystal structure of ZnSnTeO.

Lattice parameters (Å, degrees): 5.7429 9.4292 7.0673 90.00 90.00 90.00
Last column: nearest neighbours and their distance in Å.
Element x y z (fractional)
Te: 0.5011 0.5092 0.7459  2 Zn 2.60-2.78
Te: 0.4989 0.0092 0.7541  2 Zn 2.60-2.78
Te: 0.9989 0.4908 0.2459  2 Zn 2.60-2.78
Te: 0.0011 0.9908 0.2541  2 Zn 2.60-2.78
O: 0.9723 0.7515 0.6342  2 Zn 1.96-2.00, 1 Sn 2.05
O: 0.4723 0.7485 0.3658  2 Zn 1.96-2.00, 1 Sn 2.05
O: 0.0277 0.2515 0.8658  2 Zn 1.96-2.00, 1 Sn 2.05
O: 0.5277 0.2485 0.1342  2 Zn 1.96-2.00, 1 Sn 2.05
Zn: 0.2476 0.8485 0.5350  2 O 1.96-2.00
Zn: 0.7476 0.6515 0.4650  2 O 1.96-2.00
Zn: 0.7524 0.3485 0.9650  2 O 1.96-2.00
Zn: 0.2524 0.1515 0.0350  2 O 1.96-2.00
Sn: 0.3132 0.7265 0.1083  1 O 2.05
Sn: 0.8132 0.7735 0.8917  1 O 2.05
Sn: 0.1868 0.2735 0.6083  1 O 2.05
Sn: 0.6868 0.2265 0.3917  1 O 2.05

The structure with the most favorable energy is version x; the runner-up is 100 meV/atom above it.

Version w
The following is a DFT calculation (PBE) of an optimized crystal structure of Sr2ZnTcO6.

Lattice parameters (Å, degrees): 5.5983 5.5992 5.5997 119.95 90.09 119.93
Last column: nearest neighbours and their distance in Å.
Element x y z (fractional)
O: 0.2469 0.5017 0.2626  1 Tc 1.92, 1 Zn 2.04
O: 0.7531 0.4983 0.7374  1 Tc 1.92, 1 Zn 2.04
O: 0.2460 0.9843 0.7477  1 Tc 1.92, 1 Zn 2.04
O: 0.7540 0.0157 0.2523  1 Tc 1.92, 1 Zn 2.04
O: 0.7661 0.5095 0.2585  1 Tc 1.92, 1 Zn 2.04
O: 0.2339 0.4905 0.7415  1 Tc 1.92, 1 Zn 2.04
Zn: 0.5000 0.5000 0.0000  6 O 2.04
Sr: 0.7501 0.0000 0.7501  12 O 2.75-2.85
Sr: 0.2499 0.0000 0.2499  12 O 2.75-2.85
Tc: 0.0000 0.5000 0.5000  6 O 1.92

Version x
The following is a DFT calculation (PBE) of an optimized crystal structure of Sr2ZnTcO6.

Lattice parameters (Å, degrees): 5.6249 5.6249 5.6249 120.85 120.85 88.54
Last column: nearest neighbours and their distance in Å.
Element x y z (fractional)
O: 0.2411 0.2411 0.0000  1 Tc 1.94, 1 Zn 2.09
O: 0.7136 0.1950 0.9086  1 Tc 1.92, 1 Zn 2.07
O: 0.8050 0.7136 0.5186  1 Tc 1.92, 1 Zn 2.07
O: 0.1950 0.2864 0.4814  1 Tc 1.92, 1 Zn 2.07
O: 0.7589 0.7589 0.0000  1 Tc 1.94, 1 Zn 2.09
O: 0.2864 0.8050 0.0914  1 Tc 1.92, 1 Zn 2.07
Sr: 0.2500 0.7500 0.5000  8 O 2.58-2.78
Sr: 0.7500 0.2500 0.5000  8 O 2.58-2.78
Zn: 0.5000 0.5000 0.0000  6 O 2.07-2.09
Tc: 0.0000 0.0000 0.0000  6 O 1.92-1.94

The structure with the most favorable energy is version x; the runner-up is 14 meV/atom above it.

Version w
The following is a DFT calculation (PBE) of an optimized crystal structure of SrZn2O3.

Lattice parameters (Å, degrees): 4.1649 10.6105 3.3375 90.00 90.00 90.00
Last column: nearest neighbours and their distance in Å.
Element x y z (fractional)
Zn: 0.0000 0.8126 0.2550  5 O 1.99-2.08
Zn: 0.5000 0.3126 0.7450  5 O 1.99-2.08
Zn: 0.0000 0.1874 0.2550  5 O 1.99-2.08
Zn: 0.5000 0.6874 0.7450  5 O 1.99-2.08
O: 0.0000 0.3036 0.7546  4 Zn 2.07-2.08
O: 0.0000 0.6964 0.7546  4 Zn 2.07-2.08
O: 0.0000 0.0000 0.2955  2 Zn 1.99
O: 0.5000 0.8036 0.2454  4 Zn 2.07-2.08
O: 0.5000 0.5000 0.7045  2 Zn 1.99
O: 0.5000 0.1964 0.2454  4 Zn 2.07-2.08
Sr: 0.0000 0.5000 0.2376  8 O 2.60-2.74
Sr: 0.5000 0.0000 0.7624  8 O 2.60-2.74

Version x
The following is a DFT calculation (PBE) of an optimized crystal structure of SrZn2O3.

Lattice parameters (Å, degrees): 5.9083 5.9083 5.9083 147.21 137.59 54.63
Last column: nearest neighbours and their distance in Å.
Element x y z (fractional)
Zn: 0.6879 0.6879 0.0000  5 O 1.97-2.14
Zn: 0.3121 0.3121 0.0000  5 O 1.97-2.14
O: 0.1978 0.6978 0.5000  4 Zn 2.05-2.14
O: 0.8022 0.3022 0.5000  4 Zn 2.05-2.14
O: 0.5000 0.5000 0.0000  2 Zn 1.97
Sr: 0.0000 0.0000 0.0000  8 O 2.66-2.71

Version y
The following is a DFT calculation (PBE) of an optimized crystal structure of SrZn2O3.

Lattice parameters (Å, degrees): 6.2576 6.2576 3.4005 90.00 90.00 141.91
Last column: nearest neighbours and their distance in Å.
Element x y z (fractional)
Sr: 0.0000 0.0000 0.0000  8 O 2.61-2.66
Zn: 0.6673 0.3327 0.5000  4 O 1.96-2.04
Zn: 0.3327 0.6673 0.5000  4 O 1.96-2.04
O: 0.1673 0.8327 0.5000  3 Zn 1.96-2.04
O: 0.5000 0.5000 0.5000  2 Zn 1.98
O: 0.8327 0.1673 0.5000  3 Zn 1.96-2.04

The structure with the most favorable energy is version x; the runner-up is 10 meV/atom above it.

Version w
The following is a DFT calculation (PBE) of an optimized crystal structure of TaO4.

Lattice parameters (Å, degrees): 4.8619 4.8619 4.7120 117.04 117.04 35.64
Last column: nearest neighbours and their distance in Å.
Element x y z (fractional)
O: 0.0859 0.0859 0.3552  2 Ta 1.96
O: 0.2922 0.2922 0.0251  2 O 1.64
O: 0.9141 0.9141 0.6449  2 Ta 1.96
O: 0.7077 0.7077 0.9749  2 O 1.64
Ta: 0.5001 0.5001 0.4999  6 O 1.96-2.14

Version x
The following is a DFT calculation (PBE) of an optimized crystal structure of TaO4.

Lattice parameters (Å, degrees): 5.0481 5.3030 5.2467 90.00 109.87 90.00
Last column: nearest neighbours and their distance in Å.
Element x y z (fractional)
O: 0.1349 0.0112 0.0892  1 O 1.37
O: 0.7553 0.4486 0.4742  2 Ta 1.87-2.04
O: 0.8651 0.9888 0.9108  1 O 1.37
O: 0.1349 0.9888 0.5892  1 O 1.37
O: 0.2447 0.4486 0.0258  2 Ta 1.87-2.04
O: 0.2447 0.5514 0.5258  2 Ta 1.87-2.04
O: 0.7553 0.5514 0.9742  2 Ta 1.87-2.04
O: 0.8651 0.0112 0.4108  1 O 1.37
Ta: 0.0000 0.3531 0.2500  4 O 1.87-2.04
Ta: 0.0000 0.6469 0.7500  4 O 1.87-2.04

The structure with the most favorable energy is version x; the runner-up is 209 meV/atom above it.